VASP calculation (GGA-PBE) on an optimized crystal structure of TbPmZrN3.

The structure belongs to space group P2_1/m (No. 11); the cell edges are 6.3710, 3.3172 and 9.7087 Å and the angles 90.00°, 93.39° and 90.00°. The inequivalent atoms are Tb at (0.2100, 0.2500, 0.0753), Pm at (0.1666, 0.2500, 0.7192), Zr at (0.3422, 0.7500, 0.3961), N at (0.1344, 0.2500, 0.3323), N at (0.1593, 0.7500, 0.9199) and N at (0.3983, 0.7500, 0.6112).

The magnetization comes out at 0.08 μB/atom. As for the uncorrected formation energy: -1327 meV/atom.